The following is a GGA-PBE calculation of a relaxed KPrAg2Cl8 crystal, from Alexandria via LeMat-Bulk.

Summary:
Uncorrected formation energy ... -1181 meV per atom
D(E_F) ... 27.99 states/eV per cell
DFT total energy ... -81.04 eV/cell

Unit cell a=6.895 b=6.895 c=14.273 alpha=90.00 beta=90.00 gamma=90.00
Space group I-4 (No. 82)
Symmetry-distinct sites (fractional):
K (0.000, 0.000, 0.000) (multiplicity 2)
Pr (0.000, 0.500, 0.250) (multiplicity 2)
Ag (0.000, 0.000, 0.500) (multiplicity 2)
Ag (0.000, 0.500, 0.750) (multiplicity 2)
Cl (0.140, 0.292, 0.416) (multiplicity 8)
Cl (0.170, 0.787, 0.813) (multiplicity 8)